No. 1
VASP calculation (PBE-GGA) on a relaxed structure of NaCdGe2S6.

a = 6.6100 Å, b = 8.5575 Å, c = 8.5575 Å
α = 82.95°, β = 77.56°, γ = 77.56°
Atoms (fractional coordinates):
S  0.8708  0.3880  0.9205
S  0.6292  0.0795  0.6120
Ge  0.7482  0.1952  0.3740
S  0.3394  0.1866  0.0232
Ge  0.2482  0.3740  0.1952
Na  0.7500  0.6820  0.3180
Na  0.2500  0.3180  0.6820
Ge  0.2518  0.8048  0.6260
S  0.0037  0.6772  0.5836
Cd  0.2500  0.8737  0.1263
Cd  0.7500  0.1263  0.8737
S  0.1292  0.6120  0.0795
S  0.6606  0.8134  0.9768
S  0.9963  0.3228  0.4164
Ge  0.7518  0.6260  0.8048
S  0.5037  0.5836  0.6772
S  0.8394  0.0232  0.1866
S  0.1606  0.9768  0.8134
S  0.4963  0.4164  0.3228
S  0.3708  0.9205  0.3880

Output
* formation energy without anion corrections: -384 meV per atom
* raw total energy: -4.007 eV/atom
* Fermi-level density of states: 8.3 states/eV/f.u.

***

No. 2
VASP calculation (PBE-GGA) on a relaxed structure of NaCd2GeS4.

a = 6.0639 Å, b = 6.0639 Å, c = 7.1350 Å
α = 115.14°, β = 115.14°, γ = 90.01°
Atoms (fractional coordinates):
S  0.8504  0.3979  0.2483
Na  0.0004  0.0004  0.0007
Cd  0.2500  0.7500  0.5001
Ge  0.4999  0.4999  0.9997
Cd  0.7500  0.2500  0.5001
S  0.3979  0.8504  0.2483
S  0.1492  0.1492  0.7517
S  0.6025  0.6025  0.7517

Output
* formation energy without anion corrections: -561 meV per atom
* raw total energy: -3.595 eV/atom
* Fermi-level density of states: 4.3 states/eV/f.u.

***

No. 3
VASP calculation (PBE-GGA) on a relaxed structure of Na2CdGe2S6.

a = 7.4007 Å, b = 7.4007 Å, c = 11.7656 Å
α = 85.50°, β = 85.50°, γ = 119.62°
Atoms (fractional coordinates):
Ge  0.1671  0.8907  0.5015
Cd  0.1519  0.6502  0.7785
Na  0.7590  0.1631  0.6258
S  0.9222  0.4811  0.9746
Ge  0.8907  0.1671  0.0015
S  0.9260  0.6096  0.6165
Na  0.5776  0.5533  0.9866
S  0.8897  0.0264  0.8362
Cd  0.6502  0.1519  0.2785
Na  0.5533  0.5776  0.4866
S  0.4811  0.9222  0.4746
S  0.6096  0.9260  0.1165
S  0.0313  0.4042  0.3050
S  0.0264  0.8897  0.3362
S  0.4189  0.5267  0.7620
S  0.4042  0.0313  0.8050
S  0.1800  0.1752  0.0642
Ge  0.2352  0.1884  0.7524
S  0.1752  0.1800  0.5642
S  0.5267  0.4189  0.2620
Na  0.1631  0.7590  0.1258
Ge  0.1884  0.2352  0.2524

Output
* formation energy without anion corrections: -680 meV per atom
* raw total energy: -4.094 eV/atom
* Fermi-level density of states: 0.0 states/eV/f.u.

***

No. 4
VASP calculation (PBE-GGA) on a relaxed structure of NaCdGe2Sb.

a = 5.4598 Å, b = 5.6735 Å, c = 5.4598 Å
α = 90.00°, β = 90.00°, γ = 90.00°
Atoms (fractional coordinates):
Sb  0.0000  0.0000  0.0000
Ge  0.5000  0.0000  0.0000
Na  0.0000  0.5000  0.0000
Cd  0.5000  0.5000  0.5000
Ge  0.0000  0.0000  0.5000

Output
* formation energy without anion corrections: 549 meV per atom
* raw total energy: -2.569 eV/atom
* Fermi-level density of states: 4.9 states/eV/f.u.

***

No. 5
VASP calculation (PBE-GGA) on a relaxed structure of NaCd2GeSe4.

a = 6.3441 Å, b = 6.3441 Å, c = 7.4885 Å
α = 115.06°, β = 115.06°, γ = 90.01°
Atoms (fractional coordinates):
Se  0.8540  0.3958  0.2498
Se  0.3958  0.8540  0.2498
Se  0.1458  0.1458  0.7503
Cd  0.7500  0.2500  0.5000
Na  0.0003  0.0003  0.0006
Ge  0.4999  0.4999  0.9998
Se  0.6045  0.6045  0.7503
Cd  0.2500  0.7500  0.5000

Output
* formation energy without anion corrections: -543 meV per atom
* raw total energy: -3.256 eV/atom
* Fermi-level density of states: 4.5 states/eV/f.u.

***

No. 6
VASP calculation (PBE-GGA) on a relaxed structure of Na2CdGeSe4.

a = 7.1244 Å, b = 8.1352 Å, c = 8.2920 Å
α = 90.00°, β = 90.00°, γ = 90.00°
Atoms (fractional coordinates):
Ge  0.4986  0.8358  0.5000
Se  0.9042  0.3196  0.2339
Na  0.4994  0.3307  0.7410
Na  0.9994  0.6693  0.2410
Se  0.9042  0.3196  0.7661
Na  0.4994  0.3307  0.2590
Ge  0.9986  0.1642  0.0000
Se  0.4042  0.6804  0.7339
Se  0.4042  0.6804  0.2661
Se  0.3701  0.1049  0.5000
Se  0.3328  0.1588  0.0000
Se  0.8701  0.8951  0.0000
Se  0.8328  0.8412  0.5000
Cd  0.9914  0.1356  0.5000
Na  0.9994  0.6693  0.7590
Cd  0.4914  0.8644  0.0000

Output
* formation energy without anion corrections: -699 meV per atom
* raw total energy: -3.463 eV/atom

***

No. 7
VASP calculation (PBE-GGA) on a relaxed structure of NaSmCdGe.

a = 5.1567 Å, b = 5.1567 Å, c = 5.1567 Å
α = 60.00°, β = 60.00°, γ = 60.00°
Atoms (fractional coordinates):
Cd  0.0000  0.0000  0.0000
Ge  0.5000  0.5000  0.5000
Sm  0.7500  0.7500  0.7500
Na  0.2500  0.2500  0.2500

Output
* formation energy from the elements: -30 kJ per mole of atoms
* raw total energy: -3.201 eV/atom
* Fermi-level density of states: 1.5 states/eV/f.u.

***

No. 8
VASP calculation (PBE-GGA) on a relaxed structure of NaCdSnGe.

a = 5.1135 Å, b = 5.1135 Å, c = 5.1135 Å
α = 60.00°, β = 60.00°, γ = 60.00°
Atoms (fractional coordinates):
Sn  0.7500  0.7500  0.7500
Na  0.0000  0.0000  0.0000
Cd  0.5000  0.5000  0.5000
Ge  0.2500  0.2500  0.2500

Output
* formation energy from the elements: 5 kJ per mole of atoms
* raw total energy: -2.659 eV/atom
* Fermi-level density of states: 1.5 states/eV/f.u.

***

No. 9
VASP calculation (PBE-GGA) on a relaxed structure of NaTbCdGe.

a = 5.1082 Å, b = 5.1082 Å, c = 5.1082 Å
α = 60.00°, β = 60.00°, γ = 60.00°
Atoms (fractional coordinates):
Cd  0.7500  0.7500  0.7500
Tb  0.0000  0.0000  0.0000
Na  0.5000  0.5000  0.5000
Ge  0.2500  0.2500  0.2500

Output
* formation energy from the elements: -29 kJ per mole of atoms
* raw total energy: -3.168 eV/atom
* Fermi-level density of states: 1.4 states/eV/f.u.

***

No. 10
VASP calculation (PBE-GGA) on a relaxed structure of NaCdTcGe2.

a = 4.7910 Å, b = 4.7910 Å, c = 5.3431 Å
α = 90.00°, β = 90.00°, γ = 90.00°
Atoms (fractional coordinates):
Tc  0.0000  0.0000  0.0000
Na  0.5000  0.5000  0.5000
Ge  0.0000  0.5000  0.0000
Ge  0.5000  0.0000  0.0000
Cd  0.0000  0.0000  0.5000

Output
* formation energy from the elements: 4 kJ per mole of atoms
* raw total energy: -4.323 eV/atom
* Fermi-level density of states: 1.7 states/eV/f.u.

***

No. 11
VASP calculation (PBE-GGA) on a relaxed structure of NaCd2GeTe4.

a = 6.7771 Å, b = 6.7771 Å, c = 8.0545 Å
α = 114.86°, β = 114.86°, γ = 90.03°
Atoms (fractional coordinates):
Cd  0.2500  0.7500  0.5000
Te  0.6061  0.6061  0.7466
Te  0.8590  0.3943  0.2533
Te  0.1405  0.1405  0.7466
Ge  0.4998  0.4998  0.9997
Te  0.3943  0.8590  0.2533
Cd  0.7500  0.2500  0.5000
Na  0.0005  0.0005  0.0010

Output
* formation energy without anion corrections: -353 meV per atom
* raw total energy: -2.895 eV/atom
* Fermi-level density of states: 6.0 states/eV/f.u.

***

No. 12
VASP calculation (PBE-GGA) on a relaxed structure of NaYCdGe.

a = 5.1043 Å, b = 5.1043 Å, c = 5.1043 Å
α = 60.00°, β = 60.00°, γ = 60.00°
Atoms (fractional coordinates):
Na  0.7500  0.7500  0.7500
Cd  0.5000  0.5000  0.5000
Y  0.2500  0.2500  0.2500
Ge  0.0000  0.0000  0.0000

Output
* formation energy from the elements: -29 kJ per mole of atoms
* raw total energy: -3.627 eV/atom
* Fermi-level density of states: 1.4 states/eV/f.u.